VASP calculation (PBE-GGA) on a geometry-optimized Ba2ReBW structure.

Cell and atoms, written as CIF:
```
data_Ba2ReBW
_chemical_formula_sum 'Ba2 Re1 B1 W1'
_cell_length_a 5.822
_cell_length_b 5.822
_cell_length_c 4.227
_cell_angle_alpha 90.00
_cell_angle_beta 90.00
_cell_angle_gamma 90.00
_space_group_name_H-M_alt 'P 1'
_space_group_IT_number 1
loop_
_space_group_symop_operation_xyz
'x,y,z'
loop_
_atom_site_label
_atom_site_type_symbol
_atom_site_fract_x
_atom_site_fract_y
_atom_site_fract_z
Ba1 Ba 0.000 0.500 0.000
Ba2 Ba 0.500 0.000 0.000
Re1 Re 0.000 0.000 0.500
B1 B 0.500 0.500 0.000
W1 W 0.500 0.500 0.500
```

Calculated values
Calculated total energy, eV per atom: -5.543
M_tot, μB per atom: 0.945
Crystal system: tetragonal
DFT formation energy, eV per atom: 1.6420